1.
V3CrRu | Alexandria via LeMat-Bulk | GGA-PBE | optimized geometry; final energy = -0.3352 Ha/atom; energy above the most stable polymorph in this dataset = 0 meV/atom; energy of formation from the pure elements = 130 meV/atom; Fermi-level density of states = 1.070 states/eV per atom
1.0
4.0367 0.0000 -1.0386
0.0000 4.6169 0.0000
-0.2342 0.0000 7.3293
V Ru Cr
6 2 2
direct
0.7353 0.7500 0.4713
0.5000 0.5000 0.0000
0.2647 0.2500 0.5287
0.9389 0.7500 0.8776
0.0611 0.2500 0.1224
0.5000 0.0000 0.0000
0.8590 0.2500 0.7203
0.1410 0.7500 0.2797
0.6611 0.2500 0.3200
0.3389 0.7500 0.6800


2.
Ac3PbNO | Alexandria via LeMat-Bulk | GGA-PBE | optimized geometry; uncorrected formation energy = -1.451 eV per atom; final energy = -0.2329 Ha/atom; Fermi-level density of states = 0.289 states/eV per atom
1.0
4.2432 0.0000 0.0000
0.0000 8.3286 -0.2226
0.0000 -3.4470 9.7195
Ac N O Pb
6 2 2 2
direct
0.2500 0.5539 0.8834
0.7500 0.4461 0.1166
0.7500 0.9147 0.1608
0.7500 0.2167 0.5667
0.2500 0.7833 0.4333
0.2500 0.0853 0.8392
0.2500 0.7073 0.1388
0.7500 0.2927 0.8612
0.2500 0.0958 0.6071
0.7500 0.9042 0.3929
0.2500 0.2784 0.2925
0.7500 0.7216 0.7075


3.
Ac4DyIn5 | Alexandria via LeMat-Bulk | GGA-PBE | optimized geometry; final energy = -0.1433 Ha/atom; energy of formation from the pure elements = -427 meV/atom; Fermi-level density of states = 0.731 states/eV per atom
1.0
3.9790 0.0000 0.0000
0.0000 3.9790 0.0000
0.0000 0.0000 20.8046
In Ac Dy
5 4 1
direct
0.5000 0.5000 0.7094
0.5000 0.5000 0.5000
0.5000 0.5000 0.9188
0.5000 0.5000 0.0812
0.5000 0.5000 0.2906
0.0000 0.0000 0.6048
0.0000 0.0000 0.3952
0.0000 0.0000 0.1874
0.0000 0.0000 0.8126
0.0000 0.0000 0.0000


4.
Tb2NdYTh | Alexandria via LeMat-Bulk | GGA-PBE | optimized geometry; final energy = -0.1894 Ha/atom; energy of formation from the pure elements = 428 meV/atom; Fermi-level density of states = 1.630 states/eV per atom
1.0
6.9595 0.0000 0.0000
0.0000 8.5782 0.0000
0.0000 -4.2891 5.9819
Th Tb Y Nd
2 4 2 2
direct
0.2500 0.9959 0.9918
0.7500 0.0041 0.0082
0.5000 0.6831 0.0000
0.0000 0.3169 0.0000
0.0000 0.6831 0.0000
0.5000 0.3169 0.0000
0.7500 0.7295 0.4589
0.2500 0.2705 0.5411
0.7500 0.2709 0.5419
0.2500 0.7291 0.4581